(1)
Ca2BRh3: relaxed, GGA-PBE.

abc: 3.1164 4.8635 7.5160
angles: 108.88 101.97 90.00
Fractional coordinates of all 6 atoms:
Rh: 0.5994 0.5994 0.1988
Rh: 0.4006 0.4006 0.8012
Ca: 0.6824 0.1824 0.3648
Ca: 0.3176 0.8176 0.6352
Rh: 0.0000 0.0000 0.0000
B: 0.0000 0.5000 0.0000

=====

(2)
SrAlIn3: relaxed, GGA-PBE.

Relative energy among the computed polymorphs   1162 meV per atom

abc: 6.1691 6.1691 6.1691
angles: 90.00 90.00 90.00
Fractional coordinates of all 5 atoms:
Al: 0.5000 0.5000 0.5000
In: 0.5000 0.0000 0.0000
In: 0.0000 0.5000 0.0000
In: 0.0000 0.0000 0.5000
Sr: 0.0000 0.0000 0.0000

=====

Number 1: DFT total energy -0.4099 Ry per atom, calculated density 6.3 Mg/m³. Number 2: DFT total energy -0.1331 Ry per atom, calculated density 3.2 Mg/m³.